[1]
Compound: HfVTc2Ge
Source: Alexandria
Functional: PBE-GGA
Structure: optimized geometry

Output
Total magnetic moment   0.007 μB/cell
Final energy   -8.169 eV/atom
DFT formation energy   0.7148 eV per atom

a b c (Å): 4.5756 4.5756 4.3946
angles (deg): 90.00 90.00 90.00
Fractional positions:
Hf (0.0000, 0.0000, 0.0000)
V (0.5000, 0.5000, 0.0000)
Tc (0.0000, 0.5000, 0.5000)
Tc (0.5000, 0.0000, 0.5000)
Ge (0.5000, 0.5000, 0.5000)

=====

[2]
Compound: AsRh2Cl
Source: Alexandria
Functional: PBE-GGA
Structure: optimized geometry

Output
ΔE_f (raw)   -19.6 kJ per mole of atoms
Total magnetic moment   0.000 μB/cell
Final energy   -5.503 eV/atom
Energy relative to the lowest polymorph listed for this composition   0.00 eV per formula unit

a b c (Å): 3.7101 3.7101 6.3815
angles (deg): 107.02 107.02 59.98
Fractional positions:
As (0.0000, 0.0000, 0.0000)
Rh (0.2722, 0.2722, 0.8180)
Rh (0.7278, 0.7278, 0.1820)
Cl (0.5000, 0.5000, 0.5000)

=====

[3]
Compound: Nd2Ni2Sn3
Source: Alexandria
Functional: PBE-GGA
Structure: optimized geometry

Output
Total magnetic moment   0.000 μB/cell
Final energy   -5.293 eV/atom
DFT formation energy   -0.5639 eV per atom
Energy relative to the lowest polymorph listed for this composition   0.00 eV per formula unit

a b c (Å): 10.0306 10.0306 7.2017
angles (deg): 90.00 90.00 153.93
Fractional positions:
Nd (0.0412, 0.9588, 0.7500)
Nd (0.1646, 0.8354, 0.2500)
Nd (0.8354, 0.1646, 0.7500)
Nd (0.9588, 0.0412, 0.2500)
Ni (0.2956, 0.7044, 0.0546)
Ni (0.2956, 0.7044, 0.4454)
Ni (0.7044, 0.2956, 0.5546)
Ni (0.7044, 0.2956, 0.9454)
Sn (0.2163, 0.7837, 0.7500)
Sn (0.4263, 0.5737, 0.5476)
Sn (0.4263, 0.5737, 0.9524)
Sn (0.5737, 0.4263, 0.0476)
Sn (0.5737, 0.4263, 0.4524)
Sn (0.7837, 0.2163, 0.2500)

=====

Question: The highest final energy belongs to which entry?
Answer: Nd2Ni2Sn3